Entry 1:
A relaxed structure of Ba2Zn2Pd. Source: Alexandria via LeMat-Bulk, functional PBE.

The structure in CIF format:
```
data_Ba2Zn2Pd
_cell_length_a 6.390
_cell_length_b 6.390
_cell_length_c 7.617
_cell_angle_alpha 90.00
_cell_angle_beta 90.00
_cell_angle_gamma 90.00
_space_group_name_H-M_alt 'I 4/m m m'
_space_group_IT_number 139
_space_group_name_Hall '-I 4 2'
loop_
_atom_site_label
_atom_site_type_symbol
_atom_site_fract_x
_atom_site_fract_y
_atom_site_fract_z
Ba1 Ba 0.000 0.500 0.250
Zn1 Zn 0.000 0.000 0.161
Pd1 Pd 0.000 0.000 0.500
```

raw total energy = -2.470 eV per atom
ΔE_f = -0.1524 eV per atom

---

Entry 2:
A relaxed structure of Pr6Nd12Cd. Source: Alexandria via LeMat-Bulk, functional PBE.

The structure in CIF format:
```
data_Pr6Nd12Cd
_cell_length_a 12.2714
_cell_length_b 12.2714
_cell_length_c 15.3822
_cell_angle_alpha 90.00
_cell_angle_beta 90.00
_cell_angle_gamma 120.00
_space_group_name_H-M_alt 'R -3'
_space_group_IT_number 148
_space_group_name_Hall '-R 3'
loop_
_atom_site_label
_atom_site_type_symbol
_atom_site_fract_x
_atom_site_fract_y
_atom_site_fract_z
Pr1 Pr 0.0195 0.4267 0.1891
Nd1 Nd 0.0107 0.1766 0.3135
Nd2 Nd 0.0506 0.8504 0.9163
Cd1 Cd 0.0000 0.0000 0.5000
```

raw total energy = -4.485 eV per atom
ΔE_f = 0.0835 eV per atom

---

Entry 3:
A relaxed structure of K2CdHgF6. Source: Alexandria via LeMat-Bulk, functional PBE.

The structure in CIF format:
```
data_K2CdHgF6
_cell_length_a 6.219
_cell_length_b 6.393
_cell_length_c 10.826
_cell_angle_alpha 90.00
_cell_angle_beta 125.06
_cell_angle_gamma 90.00
_space_group_name_H-M_alt 'P 1 21/c 1'
_space_group_IT_number 14
loop_
_space_group_symop_operation_xyz
'x,y,z'
'-x,-y,-z'
'-x,y+1/2,-z+1/2'
'x,-y+1/2,z+1/2'
loop_
_atom_site_label
_atom_site_type_symbol
_atom_site_fract_x
_atom_site_fract_y
_atom_site_fract_z
K1 K 0.238 0.048 0.250
Cd1 Cd 0.000 0.000 0.500
Hg1 Hg 0.500 0.000 0.000
F1 F 0.148 0.211 0.950
F2 F 0.245 0.702 0.953
F3 F 0.338 0.035 0.745
```

raw total energy = -3.695 eV per atom
raw formation energy = -215.2 kJ/mol of atoms

---

Entry 4:
A relaxed structure of NdY4Cu. Source: Alexandria via LeMat-Bulk, functional PBE.

The structure in CIF format:
```
data_NdY4Cu
_cell_length_a 3.553
_cell_length_b 3.553
_cell_length_c 13.893
_cell_angle_alpha 90.00
_cell_angle_beta 90.00
_cell_angle_gamma 90.00
_space_group_name_H-M_alt 'P 4/m m m'
_space_group_IT_number 123
_space_group_name_Hall '-P 4 2'
loop_
_atom_site_label
_atom_site_type_symbol
_atom_site_fract_x
_atom_site_fract_y
_atom_site_fract_z
Nd1 Nd 0.000 0.000 0.000
Y1 Y 0.000 0.000 0.378
Y2 Y 0.500 0.500 0.187
Cu1 Cu 0.500 0.500 0.500
```

raw total energy = -5.838 eV per atom
ΔE_f = -0.0514 eV per atom